PaTe2Pd | PBE-GGA | optimized geometry

Geometry as POSCAR:
```
PaTe2Pd
1.0
5.1564 0.0000 0.0000
2.5782 4.4656 0.0000
2.5782 1.4885 4.2102
Te Pd Pa
2 1 1
direct
0.2500 0.2500 0.2500 Te
0.7500 0.7500 0.7500 Te
0.0000 0.0000 0.0000 Pd
0.5000 0.5000 0.5000 Pa
```

Results
Uncorrected formation energy: -0.513 eV/atom
V: 96.9 Å³ per cell
Uncorrected energy: -5.756 eV per atom
Total magnetization: 0.730 μB per formula unit